The following is a PBE-GGA calculation of a relaxed structure of CoTe, from Alexandria.

Calculated values
**VASP energy**: -40.68 eV per cell
**Formation energy from raw total energies**: 0.04 eV per atom
**Space-group type**: No. 70

Cell lengths 6.997, 6.940, 5.482 Å; angles 67.39, 66.29, 46.32 degrees
Sites, in units of the cell vectors:
Co: 0.010 0.010 0.240
Co: 0.240 0.240 0.010
Co: 0.760 0.760 0.990
Co: 0.990 0.990 0.760
Te: 0.138 0.612 0.138
Te: 0.388 0.862 0.388
Te: 0.612 0.138 0.612
Te: 0.862 0.388 0.862


The following is a PBE-GGA calculation of a relaxed structure of CoTe, from Alexandria.

Calculated values
**VASP energy**: -61.69 eV per cell
**Formation energy from raw total energies**: -0.02 eV per atom
**Space-group type**: No. 44

Cell lengths 3.506, 10.458, 6.189 Å; angles 90.00, 90.00, 90.00 degrees
Sites, in units of the cell vectors:
Co: 0.000 0.000 0.000
Co: 0.000 0.122 0.652
Co: 0.000 0.878 0.652
Co: 0.500 0.378 0.152
Co: 0.500 0.500 0.500
Co: 0.500 0.622 0.152
Te: 0.000 0.325 0.437
Te: 0.000 0.500 0.931
Te: 0.000 0.675 0.437
Te: 0.500 0.000 0.431
Te: 0.500 0.175 0.937
Te: 0.500 0.825 0.937


The following is a PBE-GGA calculation of a relaxed structure of Th5CoTe3, from Alexandria.

Calculated values
**VASP energy**: -121.56 eV per cell
**Formation energy from raw total energies**: -0.79 eV per atom
**Space-group type**: No. 193

Cell lengths 9.425, 9.425, 6.461 Å; angles 90.00, 90.00, 120.00 degrees
Sites, in units of the cell vectors:
Th: 0.000 0.242 0.250
Th: 0.000 0.758 0.750
Th: 0.242 0.000 0.250
Th: 0.242 0.242 0.750
Th: 0.333 0.667 0.000
Th: 0.333 0.667 0.500
Th: 0.667 0.333 0.000
Th: 0.667 0.333 0.500
Th: 0.758 0.000 0.750
Th: 0.758 0.758 0.250
Co: 0.000 0.000 0.000
Co: 0.000 0.000 0.500
Te: 0.000 0.392 0.750
Te: 0.000 0.608 0.250
Te: 0.392 0.000 0.750
Te: 0.392 0.392 0.250
Te: 0.608 0.000 0.250
Te: 0.608 0.608 0.750


The following is a PBE-GGA calculation of a relaxed structure of Th3CoTe2, from Alexandria.

Calculated values
**VASP energy**: -81.86 eV per cell
**Formation energy from raw total energies**: -0.88 eV per atom
**Space-group type**: No. 12

Cell lengths 7.417, 7.417, 7.860 Å; angles 99.15, 99.15, 119.96 degrees
Sites, in units of the cell vectors:
Th: 0.058 0.430 0.795
Th: 0.196 0.196 0.201
Th: 0.430 0.058 0.795
Th: 0.570 0.942 0.205
Th: 0.804 0.804 0.799
Th: 0.942 0.570 0.205
Co: 0.168 0.832 0.000
Co: 0.832 0.168 0.000
Te: 0.000 0.000 0.500
Te: 0.348 0.652 0.500
Te: 0.500 0.500 0.000
Te: 0.652 0.348 0.500


The following is a PBE-GGA calculation of a relaxed structure of ThCoTe, from Alexandria.

Calculated values
**VASP energy**: -19.80 eV per cell
**Formation energy from raw total energies**: -0.71 eV per atom
**Space-group type**: No. 156

Cell lengths 4.256, 4.256, 4.290 Å; angles 90.00, 90.00, 120.00 degrees
Sites, in units of the cell vectors:
Th: 0.000 0.000 0.000
Co: 0.333 0.667 0.370
Te: 0.667 0.333 0.499


The following is a PBE-GGA calculation of a relaxed structure of Th5CoTe4, from Alexandria.

Calculated values
**VASP energy**: -65.99 eV per cell
**Formation energy from raw total energies**: -0.92 eV per atom
**Space-group type**: No. 87

Cell lengths 7.630, 7.630, 7.630 Å; angles 99.61, 99.61, 131.76 degrees
Sites, in units of the cell vectors:
Th: 0.000 0.000 0.000
Th: 0.244 0.599 0.842
Th: 0.401 0.244 0.645
Th: 0.599 0.756 0.355
Th: 0.756 0.401 0.158
Co: 0.500 0.500 0.000
Te: 0.080 0.315 0.395
Te: 0.315 0.920 0.235
Te: 0.685 0.080 0.765
Te: 0.920 0.685 0.605


The following is a PBE-GGA calculation of a relaxed structure of Th4CoTe5, from Alexandria.

Calculated values
**VASP energy**: -61.75 eV per cell
**Formation energy from raw total energies**: -0.93 eV per atom
**Space-group type**: No. 12

Cell lengths 10.016, 10.016, 8.571 Å; angles 103.31, 103.31, 24.30 degrees
Sites, in units of the cell vectors:
Th: 0.001 0.001 0.288
Th: 0.339 0.339 0.403
Th: 0.661 0.661 0.597
Th: 0.999 0.999 0.712
Co: 0.500 0.500 0.500
Te: 0.165 0.165 0.861
Te: 0.170 0.170 0.326
Te: 0.500 0.500 0.000
Te: 0.830 0.830 0.674
Te: 0.835 0.835 0.139


The following is a PBE-GGA calculation of a relaxed structure of Th6CoTe5, from Alexandria.

Calculated values
**VASP energy**: -78.92 eV per cell
**Formation energy from raw total energies**: -0.97 eV per atom
**Space-group type**: No. 12

Cell lengths 7.716, 7.716, 7.530 Å; angles 99.76, 99.76, 118.90 degrees
Sites, in units of the cell vectors:
Th: 0.069 0.360 0.717
Th: 0.203 0.203 0.247
Th: 0.360 0.069 0.717
Th: 0.640 0.931 0.283
Th: 0.797 0.797 0.753
Th: 0.931 0.640 0.283
Co: 0.000 0.000 0.500
Te: 0.192 0.808 0.000
Te: 0.342 0.658 0.500
Te: 0.500 0.500 0.000
Te: 0.658 0.342 0.500
Te: 0.808 0.192 0.000


Number 1: DOS(E_F) 1.559 states/eV/f.u.. Number 2: DOS(E_F) 1.096 states/eV/f.u.. Number 3: DOS(E_F) 8.834 states/eV/f.u.. Number 4: DOS(E_F) 2.616 states/eV/f.u.. Number 5: DOS(E_F) 3.198 states/eV/f.u.. Number 6: DOS(E_F) 7.746 states/eV/f.u.. Number 7: DOS(E_F) 3.964 states/eV/f.u.. Number 8: DOS(E_F) 9.938 states/eV/f.u..